The following is a DFT calculation (PBE) of LaUOs after structural relaxation.

Density: 12.95 g/cm3
Uncorrected energy: -9.06 eV per atom
Energy above the lowest structure with this stoichiometry: 0.0514 eV per atom
Symmetry: P2_1/c
ΔE_f: 0.093 eV per atom

Cell: 6.285 5.761 8.542 Å, 109.85 90.00 90.00°
Element x y z (fractional)
1 Os 0.857 0.381 0.283
2 Os 0.357 0.619 0.217
3 Os 0.643 0.381 0.783
4 Os 0.143 0.619 0.717
5 La 0.108 0.206 0.884
6 La 0.892 0.794 0.116
7 La 0.392 0.206 0.384
8 La 0.608 0.794 0.616
9 U 0.059 0.783 0.476
10 U 0.441 0.783 0.976
11 U 0.559 0.217 0.024
12 U 0.941 0.217 0.524